# Pm15SmTm4

A geometry-optimized Pm15SmTm4 structure (PBE, the Alexandria database).

abc: 5.1179 5.1179 25.4955
angles: 90.00 90.00 90.00
Last column: nearest neighbours and their distance in Å.
Fractional coordinates of all 20 atoms:
Pm 0.0000 0.0000 0.0000  4 Sm 3.62, 8 Pm 3.64
Pm 0.0000 0.0000 0.2015  8 Pm 3.60-3.61, 4 Tm 3.62
Pm 0.0000 0.0000 0.4004  8 Pm 3.61, 4 Tm 3.62
Pm 0.0000 0.0000 0.5996  8 Pm 3.61, 4 Tm 3.62
Pm 0.0000 0.0000 0.7985  8 Pm 3.60-3.61, 4 Tm 3.62
Pm 0.0000 0.5000 0.1015  2 Tm 3.61, 8 Pm 3.61-3.64, 2 Sm 3.64
Pm 0.0000 0.5000 0.3007  8 Pm 3.60-3.62, 4 Tm 3.60-3.61
Pm 0.0000 0.5000 0.5000  4 Tm 3.61, 8 Pm 3.61-3.62
Pm 0.0000 0.5000 0.6993  8 Pm 3.60-3.62, 4 Tm 3.60-3.61
Pm 0.0000 0.5000 0.8985  2 Tm 3.61, 8 Pm 3.61-3.64, 2 Sm 3.64
Pm 0.5000 0.0000 0.1015  2 Tm 3.61, 8 Pm 3.61-3.64, 2 Sm 3.64
Pm 0.5000 0.0000 0.3007  8 Pm 3.60-3.62, 4 Tm 3.60-3.61
Pm 0.5000 0.0000 0.5000  4 Tm 3.61, 8 Pm 3.61-3.62
Pm 0.5000 0.0000 0.6993  8 Pm 3.60-3.62, 4 Tm 3.60-3.61
Pm 0.5000 0.0000 0.8985  2 Tm 3.61, 8 Pm 3.61-3.64, 2 Sm 3.64
Sm 0.5000 0.5000 0.0000  12 Pm 3.62-3.64
Tm 0.5000 0.5000 0.2012  12 Pm 3.60-3.62
Tm 0.5000 0.5000 0.4004  12 Pm 3.61-3.62
Tm 0.5000 0.5000 0.5996  12 Pm 3.61-3.62
Tm 0.5000 0.5000 0.7988  12 Pm 3.60-3.62

Output
space-group type: P4/mmm (123)
calculated formation energy: 13 meV/atom
N(E_F): 26.6 states/eV per cell
magnetization: 0.00 μB/atom